[1]
Material: Ca2GeS
Method: DFT, PBEsol
State: relaxed

Computed properties:
* crystal system: cubic
* space group: No. 225
* energy relative to the elements, uncorrected: -0.83 eV/atom

abc: 5.0205 5.0205 5.0205
angles: 60.00 60.00 60.00
Closest atoms and distances in Å follow each position.
Element x y z (fractional)
S1 0.0000 0.0000 0.0000  8 Ca 3.07
Ge1 0.5000 0.5000 0.5000  8 Ca 3.07
Ca1 0.2500 0.2500 0.2500  4 S 3.07, 4 Ge 3.07
Ca2 0.7500 0.7500 0.7500  4 Ge 3.07, 4 S 3.07

=====

[2]
Material: Ca2GeS4
Method: DFT, PBEsol
State: relaxed

Computed properties:
* crystal system: orthorhombic
* space group: No. 62
* energy relative to the elements, uncorrected: -1.41 eV/atom

abc: 6.2730 8.1408 13.5959
angles: 90.00 90.00 90.00
Closest atoms and distances in Å follow each position.
Element x y z (fractional)
Ca1 0.0000 0.0000 0.0000  6 S 2.76-2.84
Ca2 0.5000 0.0000 0.5000  6 S 2.76-2.84
Ca3 0.0000 0.5000 0.0000  6 S 2.76-2.84
Ca4 0.5000 0.5000 0.5000  6 S 2.76-2.84
Ca5 0.5171 0.2500 0.2265  6 S 2.77-2.83
Ca6 0.0171 0.7500 0.2735  6 S 2.77-2.83
Ca7 0.4829 0.7500 0.7735  6 S 2.77-2.83
Ca8 0.9829 0.2500 0.7265  6 S 2.77-2.83
Ge1 0.0923 0.2500 0.4063  4 S 2.20-2.23
Ge2 0.5923 0.7500 0.0937  4 S 2.20-2.23
Ge3 0.9077 0.7500 0.5937  4 S 2.20-2.23
Ge4 0.4077 0.2500 0.9063  4 S 2.20-2.23
S1 0.2295 0.2500 0.5579  1 Ge 2.23
S2 0.7295 0.7500 0.9421  1 Ge 2.23
S3 0.7705 0.7500 0.4421  1 Ge 2.23
S4 0.2705 0.2500 0.0579  1 Ge 2.23
S5 0.7416 0.2500 0.4066  1 Ge 2.20
S6 0.2416 0.7500 0.0934  1 Ge 2.20
S7 0.2584 0.7500 0.5934  1 Ge 2.20
S8 0.7584 0.2500 0.9066  1 Ge 2.20
S9 0.2420 0.0364 0.3305  1 Ge 2.23
S10 0.7420 0.9636 0.1695  1 Ge 2.23
S11 0.7580 0.5364 0.6695  1 Ge 2.23
S12 0.2580 0.4636 0.8305  1 Ge 2.23
S13 0.7580 0.9636 0.6695  1 Ge 2.23
S14 0.2580 0.0364 0.8305  1 Ge 2.23
S15 0.2420 0.4636 0.3305  1 Ge 2.23
S16 0.7420 0.5364 0.1695  1 Ge 2.23

=====

[3]
Material: Ca3GeSb
Method: DFT, PBEsol
State: relaxed

Computed properties:
* crystal system: cubic
* space group: No. 221
* relative energy among the computed polymorphs: 0 meV per atom
* energy relative to the elements, uncorrected: -0.49 eV/atom

abc: 5.4682 5.4682 5.4682
angles: 90.00 90.00 90.00
Closest atoms and distances in Å follow each position.
Element x y z (fractional)
Sb1 0.5000 0.5000 0.5000  12 Ca 3.87
Ge1 0.0000 0.0000 0.0000  6 Ca 2.73
Ca1 0.0000 0.5000 0.0000  2 Ge 2.73
Ca2 0.0000 0.0000 0.5000  2 Ge 2.73
Ca3 0.5000 0.0000 0.0000  2 Ge 2.73

=====

[4]
Material: Ca2Ge2Sb
Method: DFT, PBEsol
State: relaxed

Computed properties:
* crystal system: tetragonal
* space group: No. 127
* energy relative to the elements, uncorrected: -0.64 eV/atom

abc: 4.3376 7.4590 7.4590
angles: 90.00 90.00 90.00
Closest atoms and distances in Å follow each position.
Element x y z (fractional)
Sb1 0.0000 0.0000 0.0000  4 Ge 2.98
Sb2 0.0000 0.5000 0.5000  4 Ge 2.98
Ge1 0.0000 0.3812 0.8812  1 Ge 2.51
Ge2 0.0000 0.8812 0.6188  1 Ge 2.51
Ge3 0.0000 0.6188 0.1188  1 Ge 2.51
Ge4 0.0000 0.1188 0.3812  1 Ge 2.51
Ca1 0.5000 0.1778 0.6778  6 Ge 3.05-3.13
Ca2 0.5000 0.6778 0.8222  6 Ge 3.05-3.13
Ca3 0.5000 0.8222 0.3222  6 Ge 3.05-3.13
Ca4 0.5000 0.3222 0.1778  6 Ge 3.05-3.13

=====

[5]
Material: CaGeSe2
Method: DFT, PBEsol
State: relaxed

Computed properties:
* crystal system: tetragonal
* space group: No. 122
* energy relative to the elements, uncorrected: -0.82 eV/atom

abc: 6.1565 6.1565 8.0201
angles: 112.57 112.57 90.00
Closest atoms and distances in Å follow each position.
Element x y z (fractional)
Ge1 0.2500 0.7500 0.5000  4 Se 2.68
Ge2 0.0000 0.0000 0.0000  4 Se 2.68
Ca1 0.7500 0.2500 0.5000  4 Se 2.83
Ca2 0.5000 0.5000 0.0000  4 Se 2.83
Se1 0.8971 0.3750 0.2500  2 Ge 2.68, 2 Ca 2.83
Se2 0.3529 0.8750 0.2500  2 Ge 2.68, 2 Ca 2.83
Se3 0.6250 0.6471 0.7500  2 Ge 2.68, 2 Ca 2.83
Se4 0.1250 0.1029 0.7500  2 Ge 2.68, 2 Ca 2.83

=====

[6]
Material: CaGeSe2
Method: DFT, PBEsol
State: relaxed

Computed properties:
* crystal system: cubic
* space group: No. 225
* energy relative to the elements, uncorrected: -0.82 eV/atom

abc: 4.9772 4.9772 4.9772
angles: 60.00 60.00 60.00
Closest atoms and distances in Å follow each position.
Element x y z (fractional)
Ge1 0.5000 0.5000 0.5000  8 Se 3.05
Ca1 0.0000 0.0000 0.0000  8 Se 3.05
Se1 0.2500 0.2500 0.2500  4 Ge 3.05, 4 Ca 3.05
Se2 0.7500 0.7500 0.7500  4 Ca 3.05, 4 Ge 3.05